Below is a relaxed structure of Ba2CaHg3Bi4, with properties calculated at the PBE level.

Computed properties:
DFT formation energy = -520 meV/atom
E_tot = -27.48 eV per cell
Calculated volume = 34.8 Å³/atom
Space group = P-4m2 (115)

Unit cell a=4.8686 b=4.8686 c=14.6623 alpha=90.00 beta=90.00 gamma=90.00
Last column: nearest neighbours and their distance in Å.
Fractional positions:
Ba 0.0000 0.5000 0.2349  4 Hg 3.68, 4 Bi 3.88
Ba 0.5000 0.0000 0.7651  4 Hg 3.68, 4 Bi 3.88
Ca 0.0000 0.0000 0.5000  4 Bi 3.22, 4 Hg 3.44
Hg 0.0000 0.5000 0.8539  5 Bi 3.09-3.24
Hg 0.5000 0.0000 0.1461  5 Bi 3.09-3.24
Hg 0.5000 0.5000 0.5000  4 Bi 3.22, 4 Ca 3.44
Bi 0.0000 0.0000 0.0000  4 Hg 3.24, 4 Bi 3.44
Bi 0.0000 0.5000 0.6433  3 Hg 3.09-3.22, 2 Ca 3.22
Bi 0.5000 0.0000 0.3567  3 Hg 3.09-3.22, 2 Ca 3.22
Bi 0.5000 0.5000 0.0000  4 Hg 3.24, 4 Bi 3.44


Below is a relaxed structure of LiGa, with properties calculated at the PBE level.

Computed properties:
DFT formation energy = -54 meV/atom
E_tot = -20.20 eV per cell
Calculated volume = 18.2 Å³/atom
Space group = P4_2/mnm (136)

Unit cell a=5.1986 b=5.1986 c=5.3891 alpha=90.00 beta=90.00 gamma=90.00
Last column: nearest neighbours and their distance in Å.
Fractional positions:
Li 0.1802 0.1802 0.0000  1 Li 2.65, 6 Ga 2.69-2.70
Li 0.3198 0.6802 0.5000  1 Li 2.65, 6 Ga 2.69-2.70
Li 0.6802 0.3198 0.5000  1 Li 2.65, 6 Ga 2.69-2.70
Li 0.8198 0.8198 0.0000  1 Li 2.65, 6 Ga 2.69-2.70
Ga 0.1793 0.1793 0.5000  1 Ga 2.64, 6 Li 2.69-2.70
Ga 0.3207 0.6793 0.0000  1 Ga 2.64, 6 Li 2.69-2.70
Ga 0.6793 0.3207 0.0000  1 Ga 2.64, 6 Li 2.69-2.70
Ga 0.8207 0.8207 0.5000  1 Ga 2.64, 6 Li 2.69-2.70


no.,density of states at the Fermi level (states/eV/f.u.)
1,3.79
2,0.09